A relaxed structure of Cd2ReHg, computed with GGA-PBE.

## Properties
calculated volume	19.20	A^3/atom
crystal system	monoclinic
formation enthalpy at 0 K	0.616	eV/atom
calculated total energy	-0.2226	Ry per atom

Cell: 5.3974 5.3974 5.1803 Å, 78.16 78.16 31.40°
Element x y z (fractional)
Hg 0.7500 0.7500 0.7500
Cd 0.5104 0.5104 0.4864
Cd 0.9896 0.9896 0.0136
Re 0.2500 0.2500 0.2500